Computed, not measured: an optimized crystal structure of La2FeSiAg at the PBE level of DFT.

Unit cell a=5.3138 b=5.3138 c=4.4124 alpha=90.00 beta=90.00 gamma=90.00
Fractional coordinates of all 5 atoms:
La 0.0000 0.5000 0.0000
La 0.5000 0.0000 0.0000
Fe 0.0000 0.0000 0.0000
Si 0.0000 0.0000 0.5000
Ag 0.5000 0.5000 0.5000

DOS(E_F): 4.0 states/eV/cell
Uncorrected formation energy: -0.261 eV per atom
Electronic total energy: -27.9 eV per cell